Entry 1:
Entry from Alexandria: crystalline CdCoHg2 at its relaxed geometry (GGA-PBEsol).

Output
* formation enthalpy at 0 K: 1.1 eV per formula unit
* crystal system: monoclinic

abc: 3.021 3.103 7.600
angles: 90.00 90.22 90.00
Space group P2/m (No. 10)
Unique sites:
Cd 0.000 0.000 0.000 (multiplicity 1)
Co 0.000 0.000 0.500 (multiplicity 1)
Hg 0.498 0.500 0.286 (multiplicity 2)

Entry 2:
Entry from Alexandria: crystalline CdCo2Hg at its relaxed geometry (GGA-PBEsol).

Output
* formation enthalpy at 0 K: 1.7 eV per formula unit
* crystal system: cubic

abc: 6.165 6.165 6.165
angles: 90.00 90.00 90.00
Space group Fm-3m (No. 225)
Unique sites:
Cd 0.000 0.000 0.000 (multiplicity 4)
Co 0.250 0.250 0.250 (multiplicity 8)
Hg 0.000 0.000 0.500 (multiplicity 4)

Entry 3:
Entry from Alexandria: crystalline CdCo2Hg at its relaxed geometry (GGA-PBEsol).

Output
* formation enthalpy at 0 K: 1.7 eV per formula unit
* crystal system: tetragonal

abc: 3.870 3.870 7.919
angles: 90.00 90.00 90.00
Space group I-4m2 (No. 119)
Unique sites:
Cd 0.000 0.000 0.000 (multiplicity 2)
Co 0.000 0.000 0.500 (multiplicity 2)
Co 0.000 0.500 0.250 (multiplicity 2)
Hg 0.000 0.500 0.750 (multiplicity 2)

Entry 4:
Entry from Alexandria: crystalline Cd2CoHgOs at its relaxed geometry (GGA-PBEsol).

Output
* formation enthalpy at 0 K: 10.1 eV per formula unit
* crystal system: tetragonal

abc: 5.004 5.004 4.674
angles: 90.00 90.00 90.00
Space group P4/mmm (No. 123)
Unique sites:
Cd 0.000 0.500 0.000 (multiplicity 2)
Co 0.000 0.000 0.500 (multiplicity 1)
Hg 0.000 0.000 0.000 (multiplicity 1)
Os 0.500 0.500 0.500 (multiplicity 1)

Entry 5:
Entry from Alexandria: crystalline RbCd2CoHg at its relaxed geometry (GGA-PBEsol).

Output
* formation enthalpy at 0 K: 3.1 eV per formula unit
* crystal system: tetragonal

abc: 5.342 5.342 5.089
angles: 90.00 90.00 90.00
Space group P4/mmm (No. 123)
Unique sites:
Rb 0.000 0.000 0.000 (multiplicity 1)
Cd 0.000 0.500 0.500 (multiplicity 2)
Co 0.500 0.500 0.000 (multiplicity 1)
Hg 0.500 0.500 0.500 (multiplicity 1)

Entry 6:
Entry from Alexandria: crystalline CdCo2HgTe at its relaxed geometry (GGA-PBEsol).

Output
* E_form (uncorrected): 1378 meV per atom
* crystal system: tetragonal

abc: 4.786 4.786 5.463
angles: 90.00 90.00 90.00
Space group P4/mmm (No. 123)
Unique sites:
Cd 0.000 0.000 0.000 (multiplicity 1)
Co 0.000 0.500 0.500 (multiplicity 2)
Hg 0.500 0.500 0.500 (multiplicity 1)
Te 0.500 0.500 0.000 (multiplicity 1)

Entry 7:
Entry from Alexandria: crystalline Ho4CdCo at its relaxed geometry (GGA-PBEsol).

Output
* formation enthalpy at 0 K: -1.6 eV per formula unit
* crystal system: cubic

abc: 13.094 13.094 13.094
angles: 90.00 90.00 90.00
Space group F-43m (No. 216)
Unique sites:
Ho 0.000 0.000 0.189 (multiplicity 24)
Ho 0.061 0.250 0.250 (multiplicity 24)
Ho 0.153 0.153 0.653 (multiplicity 16)
Cd 0.080 0.080 0.420 (multiplicity 16)
Co 0.141 0.141 0.859 (multiplicity 16)

Entry 8:
Entry from Alexandria: crystalline Cd2CoI at its relaxed geometry (GGA-PBEsol).

Output
* E_form (uncorrected): 894 meV per atom
* crystal system: cubic

abc: 7.059 7.059 7.059
angles: 90.00 90.00 90.00
Space group Fm-3m (No. 225)
Unique sites:
Cd 0.250 0.250 0.250 (multiplicity 8)
Co 0.000 0.000 0.000 (multiplicity 4)
I 0.000 0.000 0.500 (multiplicity 4)

Entry 9:
Entry from Alexandria: crystalline CdCoI3 at its relaxed geometry (GGA-PBEsol).

Output
* E_form (uncorrected): 189 meV per atom
* crystal system: cubic

abc: 5.206 5.206 5.206
angles: 90.00 90.00 90.00
Space group Pm-3m (No. 221)
Unique sites:
Cd 0.000 0.000 0.000 (multiplicity 1)
Co 0.500 0.500 0.500 (multiplicity 1)
I 0.000 0.500 0.500 (multiplicity 3)

Entry 10:
Entry from Alexandria: crystalline CdCoIN2 at its relaxed geometry (GGA-PBEsol).

Output
* E_form (uncorrected): 1122 meV per atom
* crystal system: tetragonal

abc: 3.868 3.868 5.365
angles: 90.00 90.00 90.00
Space group P4/mmm (No. 123)
Unique sites:
Cd 0.000 0.000 0.000 (multiplicity 1)
Co 0.500 0.500 0.500 (multiplicity 1)
I 0.500 0.500 0.000 (multiplicity 1)
N 0.000 0.500 0.500 (multiplicity 2)

Entry 11:
Entry from Alexandria: crystalline CdCoI2O at its relaxed geometry (GGA-PBEsol).

Output
* E_form (uncorrected): 134 meV per atom
* crystal system: tetragonal

abc: 5.851 5.851 3.479
angles: 90.00 90.00 90.00
Space group P4/mmm (No. 123)
Unique sites:
Cd 0.000 0.000 0.000 (multiplicity 1)
Co 0.500 0.500 0.000 (multiplicity 1)
I 0.000 0.500 0.500 (multiplicity 2)
O 0.500 0.500 0.500 (multiplicity 1)

Entry 12:
Entry from Alexandria: crystalline CdCoPI2 at its relaxed geometry (GGA-PBEsol).

Output
* E_form (uncorrected): 454 meV per atom
* crystal system: tetragonal

abc: 5.677 5.677 4.168
angles: 90.00 90.00 90.00
Space group P4/mmm (No. 123)
Unique sites:
Cd 0.000 0.000 0.000 (multiplicity 1)
Co 0.500 0.500 0.000 (multiplicity 1)
P 0.500 0.500 0.500 (multiplicity 1)
I 0.000 0.500 0.500 (multiplicity 2)